VASP calculation (PBE) on a geometry-optimized Na3GaBr structure.

The structure belongs to space group Pm-3m (No. 221); the cell edges are 5.5483, 5.5483 and 5.5483 Å and the angles 90.00°, 90.00° and 90.00°. The asymmetric unit holds Na at (0.0000, 0.0000, 0.5000), Ga at (0.5000, 0.5000, 0.5000) and Br at (0.0000, 0.0000, 0.0000).

The total DFT energy (no corrections) is -2.057 eV/atom. The calculation puts the energy above the lowest structure with this stoichiometry at 0.000 eV per atom.